CsHoW2O8 | PBE with a Hubbard U | relaxed

Unit cell a=7.7301 b=7.7301 c=7.5443 alpha=62.33 beta=62.33 gamma=88.21
Sites, in units of the cell vectors:
W  0.6971  0.6881  0.7884
W  0.6881  0.6971  0.2884
W  0.3029  0.3119  0.2116
W  0.3119  0.3029  0.7116
O  0.6228  0.7462  0.5653
O  0.4033  0.6234  0.0424
O  0.3766  0.5967  0.4576
O  0.6234  0.4033  0.5424
O  0.6479  0.9444  0.1202
O  0.0491  0.2399  0.7892
O  0.3521  0.0556  0.8798
O  0.7462  0.6228  0.0653
O  0.2399  0.0491  0.2892
O  0.3772  0.2538  0.4347
O  0.0556  0.3521  0.3798
O  0.5967  0.3766  0.9576
O  0.2538  0.3772  0.9347
O  0.9444  0.6479  0.6202
O  0.7601  0.9509  0.7108
O  0.9509  0.7601  0.2108
Ho  0.2218  0.7782  0.2500
Ho  0.7782  0.2218  0.7500
Cs  0.1994  0.8006  0.7500
Cs  0.8006  0.1994  0.2500

Values from the calculation:
V = 343.7 Å³ per cell
ρ = 7.7 g/cm3
Total DFT energy (no corrections) = -7.37 eV per atom
DOS at the Fermi energy = 0.0 states/eV/f.u.